Density functional theory data (PBE+U) for a relaxed structure of Co2TeRhO.

Values from the calculation:
The value obtained for the total energy is -4.09 eV/atom. The crystal system is tetragonal. The magnetic moment is 0.905 μB per atom. Its space-group type is P4/mmm. For the density of states at the Fermi level, the calculation gives 9.4 states/eV/cell.

a b c (Å): 4.798 3.994 4.798
angles (deg): 90.00 90.00 90.00
Each line ends with the local moment (μB).
Positions (direct):
Co 0.500 0.000 0.000  1.72
Te 0.000 0.000 0.000  -0.09
Co 0.000 0.000 0.500  1.76
O 0.000 0.500 0.000  0.05
Rh 0.500 0.500 0.500  1.09